# BaCa3Pt (GGA-PBE, relaxed)
data_BaCa3Pt
_space_group_name_H-M_alt 'R -3 m'
_space_group_IT_number 166
_space_group_name_Hall '-R 3 2"'
_cell_length_a 7.9672
_cell_length_b 7.9672
_cell_length_c 21.0107
_cell_angle_alpha 90.00
_cell_angle_beta 90.00
_cell_angle_gamma 120.00
loop_
_atom_site_label
_atom_site_fract_x
_atom_site_fract_y
_atom_site_fract_z
Ba1 0.0000 0.0000 0.0876
Ca1 0.0010 0.5005 0.0838
Pt1 0.0000 0.0000 0.3329
# Total energy ... -3.155 eV per atom
# Spin magnetization ... 0.00 μB per cell

# Ti3TcPt (GGA-PBE, relaxed)
data_Ti3TcPt
_space_group_name_H-M_alt 'P m -3 m'
_space_group_IT_number 221
_space_group_name_Hall '-P 4 2 3'
_cell_length_a 4.6179
_cell_length_b 4.6179
_cell_length_c 4.6179
_cell_angle_alpha 90.00
_cell_angle_beta 90.00
_cell_angle_gamma 90.00
loop_
_atom_site_label
_atom_site_fract_x
_atom_site_fract_y
_atom_site_fract_z
Ti1 0.0000 0.0000 0.5000
Tc1 0.0000 0.0000 0.0000
Pt1 0.5000 0.5000 0.5000
# Total energy ... -7.560 eV per atom
# Spin magnetization ... 0.59 μB per cell

# CsTlH6Rh (GGA-PBE, relaxed)
data_CsTlH6Rh
_space_group_name_H-M_alt 'P 3 1 2'
_space_group_IT_number 149
_cell_length_a 5.3054
_cell_length_b 5.3054
_cell_length_c 6.2846
_cell_angle_alpha 90.00
_cell_angle_beta 90.00
_cell_angle_gamma 120.00
loop_
_space_group_symop_operation_xyz
'x,y,z'
'-y,x-y,z'
'-x+y,-x,z'
'-y,-x,-z'
'-x+y,y,-z'
'x,x-y,-z'
loop_
_atom_site_label
_atom_site_fract_x
_atom_site_fract_y
_atom_site_fract_z
Cs1 0.0000 0.0000 0.0000
Tl1 0.3333 0.6667 0.5000
H1 0.3976 0.1269 0.6627
Rh1 0.6667 0.3333 0.5000
# Total energy ... -3.416 eV per atom
# Spin magnetization ... 0.00 μB per cell

# FeBiN2 (GGA-PBE, relaxed)
data_FeBiN2
_space_group_name_H-M_alt 'R -3 m'
_space_group_IT_number 166
_space_group_name_Hall '-R 3 2"'
_cell_length_a 3.5385
_cell_length_b 3.5385
_cell_length_c 18.2160
_cell_angle_alpha 90.00
_cell_angle_beta 90.00
_cell_angle_gamma 120.00
loop_
_atom_site_label
_atom_site_fract_x
_atom_site_fract_y
_atom_site_fract_z
Fe1 0.0000 0.0000 0.0000
Bi1 0.0000 0.0000 0.5000
N1 0.0000 0.0000 0.0993
# Total energy ... -6.431 eV per atom
# Spin magnetization ... 9.09 μB per cell

> Among the records above, which one has the highest spin magnetization?

FeBiN2

Copy entry 1 word for word.
# BaCa3Pt (GGA-PBE, relaxed)
data_BaCa3Pt
_space_group_name_H-M_alt 'R -3 m'
_space_group_IT_number 166
_space_group_name_Hall '-R 3 2"'
_cell_length_a 7.9672
_cell_length_b 7.9672
_cell_length_c 21.0107
_cell_angle_alpha 90.00
_cell_angle_beta 90.00
_cell_angle_gamma 120.00
loop_
_atom_site_label
_atom_site_fract_x
_atom_site_fract_y
_atom_site_fract_z
Ba1 0.0000 0.0000 0.0876
Ca1 0.0010 0.5005 0.0838
Pt1 0.0000 0.0000 0.3329
# Total energy ... -3.155 eV per atom
# Spin magnetization ... 0.00 μB per cell

> Which value of total energy does entry 1 give?

-3.155 eV per atom